Record 1
First-principles (SCAN) data for Nb2Cd2H at its PBEsol-relaxed geometry, as listed in Alexandria.

```
Nb2Cd2H
1.0
-0.489 3.662 -0.466
-3.588 -0.582 -0.808
0.432 -0.904 7.318
Cd Nb H
2 2 1
Cartesian
-1.048 2.149 3.107
-2.598 0.027 2.937
-1.346 0.533 5.596
-2.299 1.643 0.448
0.000 0.000 0.000
```

=====

Record 2
First-principles (SCAN) data for MgCuRu3 at its PBEsol-relaxed geometry, as listed in Alexandria.

Output
DFT formation energy ... 1421 meV per atom

```
MgCuRu3
1.0
4.418 0.000 0.000
0.000 4.418 0.000
0.000 0.000 4.418
Mg Cu Ru
1 1 3
Cartesian
2.209 2.209 2.209
0.000 0.000 0.000
2.209 0.000 0.000
0.000 2.209 0.000
0.000 0.000 2.209
```

=====

Ordered raw total energy results: -24.997 -23.509; unit eV per atom.